A relaxed structure of Li5Cr2O8. Source: the Alexandria database, functional GGA+U.

Cell and atoms, written as POSCAR:
```
Li5Cr2O8
1.0
-3.800 3.462 -0.459
-6.602 -3.845 -1.657
-2.591 1.068 4.558
O Li Cr
8 5 2
direct
0.690 0.630 0.038 O
0.579 0.818 0.462 O
0.202 0.957 0.191 O
0.295 0.355 0.948 O
0.748 0.048 0.840 O
0.863 0.351 0.560 O
0.137 0.642 0.481 O
0.523 0.192 0.453 O
0.728 0.808 0.736 Li
0.820 0.982 0.198 Li
0.009 0.469 0.765 Li
0.937 0.565 0.282 Li
0.238 0.180 0.285 Li
0.391 0.761 0.303 Cr
0.606 0.237 0.701 Cr
```

Calculated values
**ρ**: 2.37 g/cm3
**Magnetic moment**: 1.0 μB per cell
**Final energy**: -5.999 eV per atom